No. 1
Below is a crystal of HoCu relaxed with PBEsol, with properties calculated at the meta-GGA SCAN level.

Cell lengths 3.3891, 3.3891, 3.3891 Å; angles 90.00, 90.00, 90.00 degrees
Fractional coordinates of all 2 atoms:
Cu 0.5000 0.5000 0.5000
Ho 0.0000 0.0000 0.0000

Summary:
ΔE_f in kJ/mol of atoms: -31.1
Symmetry: No. 221

***

No. 2
Below is a crystal of AlIrCl2 relaxed with PBEsol, with properties calculated at the meta-GGA SCAN level.

Cell lengths 3.9456, 4.0644, 4.0644 Å; angles 90.00, 90.00, 90.00 degrees
Fractional coordinates of all 4 atoms:
Cl 0.0000 0.0000 0.5000
Ir 0.5000 0.5000 0.5000
Al 0.5000 0.0000 0.0000
Cl 0.0000 0.5000 0.0000

Summary:
Uncorrected formation energy in eV/atom: 0.79
Relative energy among the computed polymorphs in meV per atom: 204
Symmetry: No. 123

***

No. 3
Below is a crystal of TeRuW relaxed with PBEsol, with properties calculated at the meta-GGA SCAN level.

Cell lengths 3.0170, 4.0227, 4.8092 Å; angles 114.72, 108.28, 90.00 degrees
Fractional coordinates of all 3 atoms:
Ru 0.9905 0.9905 0.9811
Te 0.6677 0.6677 0.3354
W 0.3418 0.3418 0.6836

Summary:
Uncorrected formation energy in eV/atom: 0.65
Relative energy among the computed polymorphs in meV per atom: 0
Symmetry: No. 44

***

No. 4
Below is a crystal of Li2V3O3F5 relaxed with PBEsol, with properties calculated at the meta-GGA SCAN level.

Cell lengths 5.8543, 5.8900, 5.8900 Å; angles 121.07, 120.05, 59.95 degrees
Fractional coordinates of all 13 atoms:
F 0.1376 0.6155 0.8864
V 0.3604 0.8555 0.6054
F 0.1376 0.1136 0.3845
F 0.6007 0.1184 0.8816
O 0.6235 0.6072 0.3928
O 0.1379 0.6350 0.3650
V 0.8921 0.3735 0.6265
Li 0.7421 0.7471 0.2529
F 0.6314 0.6303 0.8557
F 0.6314 0.1443 0.3697
O 0.1409 0.1382 0.8618
V 0.3604 0.3946 0.1445
Li 0.9917 0.0138 0.9862

Summary:
Uncorrected formation energy in eV/atom: -2.91
Symmetry: No. 8

***

No. 5
Below is a crystal of Si2SbI relaxed with PBEsol, with properties calculated at the meta-GGA SCAN level.

Cell lengths 5.0107, 5.0107, 5.0107 Å; angles 60.00, 60.00, 60.00 degrees
Fractional coordinates of all 4 atoms:
Si 0.7500 0.7500 0.7500
I 0.5000 0.5000 0.5000
Si 0.2500 0.2500 0.2500
Sb 0.0000 0.0000 0.0000

Summary:
Uncorrected formation energy in eV/atom: 0.90
Symmetry: No. 225

***

No. 6
Below is a crystal of Fe3TcSb relaxed with PBEsol, with properties calculated at the meta-GGA SCAN level.

Cell lengths 4.5569, 4.5569, 4.5569 Å; angles 90.00, 90.00, 90.00 degrees
Fractional coordinates of all 5 atoms:
Fe 0.0000 0.0000 0.5000
Fe 0.0000 0.5000 0.0000
Tc 0.5000 0.5000 0.5000
Fe 0.5000 0.0000 0.0000
Sb 0.0000 0.0000 0.0000

Summary:
Uncorrected formation energy in eV/atom: 1.69
Symmetry: No. 221

***

No. 7
Below is a crystal of Dy5S7 relaxed with PBEsol, with properties calculated at the meta-GGA SCAN level.

Cell lengths 3.7581, 6.6082, 11.4360 Å; angles 104.08, 90.00, 106.52 degrees
Fractional coordinates of all 12 atoms:
S 0.0410 0.0820 0.7845
Dy 0.3003 0.6005 0.1888
S 0.2594 0.5187 0.6489
Dy 0.6997 0.3995 0.8112
Dy 0.1124 0.2248 0.4215
S 0.9590 0.9180 0.2155
Dy 0.8876 0.7752 0.5785
S 0.5000 0.0000 0.5000
Dy 0.0000 0.0000 0.0000
S 0.3401 0.6803 0.9493
S 0.7406 0.4813 0.3511
S 0.6599 0.3197 0.0507

Summary:
Uncorrected formation energy in eV/atom: -2.35
Symmetry: No. 12

***

No. 8
Below is a crystal of LiLaSi2 relaxed with PBEsol, with properties calculated at the meta-GGA SCAN level.

Cell lengths 3.8592, 4.2789, 5.7390 Å; angles 111.89, 90.00, 90.00 degrees
Fractional coordinates of all 4 atoms:
Si 0.0000 0.8224 0.6447
Si 0.5000 0.6900 0.3801
Li 0.5000 0.3705 0.7409
La 0.0000 0.1045 0.2089

Summary:
Uncorrected formation energy in eV/atom: -0.47
Relative energy among the computed polymorphs in meV per atom: 30
Symmetry: No. 38

***

No. 9
Below is a crystal of Ag2Hg relaxed with PBEsol, with properties calculated at the meta-GGA SCAN level.

Cell lengths 2.9904, 7.9314, 7.9314 Å; angles 120.00, 90.00, 90.00 degrees
Fractional coordinates of all 9 atoms:
Hg 0.5000 0.0000 0.0000
Ag 0.5000 0.3617 0.3617
Ag 0.0000 0.3053 0.0000
Ag 0.0000 0.6947 0.6947
Ag 0.5000 0.6383 0.0000
Ag 0.0000 0.0000 0.3053
Hg 0.0000 0.6667 0.3333
Ag 0.5000 0.0000 0.6383
Hg 0.0000 0.3333 0.6667

Summary:
ΔE_f in kJ/mol of atoms: 4.2
Relative energy among the computed polymorphs in meV per atom: 11
Symmetry: No. 189

***

No. 10
Below is a crystal of CaMg2 relaxed with PBEsol, with properties calculated at the meta-GGA SCAN level.

Cell lengths 6.1991, 6.1991, 9.9464 Å; angles 90.00, 90.00, 120.00 degrees
Fractional coordinates of all 12 atoms:
Mg 0.0000 0.0000 0.0000
Mg 0.3378 0.1689 0.7500
Mg 0.6622 0.8311 0.2500
Ca 0.6667 0.3333 0.0619
Mg 0.8311 0.1689 0.7500
Ca 0.6667 0.3333 0.4381
Mg 0.0000 0.0000 0.5000
Ca 0.3333 0.6667 0.9381
Mg 0.8311 0.6622 0.7500
Ca 0.3333 0.6667 0.5619
Mg 0.1689 0.8311 0.2500
Mg 0.1689 0.3378 0.2500

Summary:
ΔE_f in kJ/mol of atoms: -12.7
Symmetry: No. 194

***

No. 11
Below is a crystal of La2MgHg relaxed with PBEsol, with properties calculated at the meta-GGA SCAN level.

Cell lengths 5.4648, 5.4648, 5.4648 Å; angles 60.00, 60.00, 60.00 degrees
Fractional coordinates of all 4 atoms:
Mg 0.5000 0.5000 0.5000
La 0.7500 0.7500 0.7500
La 0.2500 0.2500 0.2500
Hg 0.0000 0.0000 0.0000

Summary:
ΔE_f in kJ/mol of atoms: -38.7
Relative energy among the computed polymorphs in meV per atom: 25
Symmetry: No. 225

***

No. 12
Below is a crystal of CeTiGe relaxed with PBEsol, with properties calculated at the meta-GGA SCAN level.

Cell lengths 3.9996, 3.9996, 7.7275 Å; angles 90.00, 90.00, 90.00 degrees
Fractional coordinates of all 6 atoms:
Ti 0.5000 0.5000 0.0000
Ge 0.5000 0.0000 0.2312
Ti 0.0000 0.0000 0.0000
Ge 0.0000 0.5000 0.7688
Ce 0.0000 0.5000 0.3577
Ce 0.5000 0.0000 0.6423

Summary:
ΔE_f in kJ/mol of atoms: -63.0
Symmetry: No. 129

***

No. 13
Below is a crystal of ZnAgMo2 relaxed with PBEsol, with properties calculated at the meta-GGA SCAN level.

Cell lengths 2.6513, 4.3477, 5.3174 Å; angles 90.00, 96.53, 90.00 degrees
Fractional coordinates of all 4 atoms:
Mo 0.9778 0.0000 0.0125
Zn 0.3609 0.0000 0.4941
Ag 0.3916 0.5000 0.7431
Mo 0.7696 0.5000 0.2503

Summary:
ΔE_f in kJ/mol of atoms: 24.4
Symmetry: No. 6

***

No. 14
Below is a crystal of YInTc2 relaxed with PBEsol, with properties calculated at the meta-GGA SCAN level.

Cell lengths 3.1201, 4.7484, 5.3373 Å; angles 90.00, 90.19, 90.00 degrees
Fractional coordinates of all 4 atoms:
Y 0.5000 0.5000 0.0000
Tc 0.0020 0.0000 0.2086
In 0.0000 0.5000 0.5000
Tc 0.9980 0.0000 0.7914

Summary:
ΔE_f in kJ/mol of atoms: 20.7
Symmetry: No. 10

***

No. 15
Below is a crystal of MnSiTc relaxed with PBEsol, with properties calculated at the meta-GGA SCAN level.

Cell lengths 3.9519, 3.9519, 3.9519 Å; angles 60.00, 60.00, 60.00 degrees
Fractional coordinates of all 3 atoms:
Tc 0.0000 0.0000 0.0000
Mn 0.5000 0.5000 0.5000
Si 0.2500 0.2500 0.2500

Summary:
Uncorrected formation energy in eV/atom: -0.21
Relative energy among the computed polymorphs in meV per atom: 134
Symmetry: No. 216

***

No. 16
Below is a crystal of AlIrW2 relaxed with PBEsol, with properties calculated at the meta-GGA SCAN level.

Cell lengths 2.8278, 3.4992, 6.0216 Å; angles 90.00, 90.00, 90.00 degrees
Fractional coordinates of all 4 atoms:
Ir 0.5000 0.5000 0.7446
W 0.0000 0.0000 0.9930
Al 0.0000 0.0000 0.5079
W 0.5000 0.5000 0.2544

Summary:
ΔE_f in kJ/mol of atoms: -17.7
Symmetry: No. 25

***

No. 17
Below is a crystal of TlZnMo relaxed with PBEsol, with properties calculated at the meta-GGA SCAN level.

Cell lengths 4.3319, 4.3319, 4.3319 Å; angles 60.00, 60.00, 60.00 degrees
Fractional coordinates of all 3 atoms:
Mo 0.0000 0.0000 0.0000
Tl 0.5000 0.5000 0.5000
Zn 0.2500 0.2500 0.2500

Summary:
ΔE_f in kJ/mol of atoms: 78.6
Symmetry: No. 216

***

No. 18
Below is a crystal of KAl4Tl relaxed with PBEsol, with properties calculated at the meta-GGA SCAN level.

Cell lengths 5.7497, 5.7497, 5.7497 Å; angles 60.00, 60.00, 60.00 degrees
Fractional coordinates of all 6 atoms:
Al 0.3755 0.3755 0.3755
Tl 0.0000 0.0000 0.0000
Al 0.8735 0.3755 0.3755
K 0.7500 0.7500 0.7500
Al 0.3755 0.3755 0.8735
Al 0.3755 0.8735 0.3755

Summary:
ΔE_f in kJ/mol of atoms: 21.7
Symmetry: No. 216

***

No. 19
Below is a crystal of GeBi3Pd relaxed with PBEsol, with properties calculated at the meta-GGA SCAN level.

Cell lengths 5.3425, 5.3425, 5.3425 Å; angles 90.00, 90.00, 90.00 degrees
Fractional coordinates of all 5 atoms:
Bi 0.5000 0.0000 0.0000
Bi 0.0000 0.5000 0.0000
Bi 0.0000 0.0000 0.5000
Pd 0.5000 0.5000 0.5000
Ge 0.0000 0.0000 0.0000

Summary:
ΔE_f in kJ/mol of atoms: 89.1
Symmetry: No. 221

***

No. 20
Below is a crystal of CaAgTe2 relaxed with PBEsol, with properties calculated at the meta-GGA SCAN level.

Cell lengths 3.9977, 5.0281, 5.0281 Å; angles 96.65, 90.00, 90.00 degrees
Fractional coordinates of all 4 atoms:
Ca 0.5000 0.5000 0.5000
Ag 0.5000 0.0000 0.0000
Te 0.0000 0.0000 0.5000
Te 0.0000 0.5000 0.0000

Summary:
Uncorrected formation energy in eV/atom: -0.64
Symmetry: No. 65

***

No. 21
Below is a crystal of TlZnPb2 relaxed with PBEsol, with properties calculated at the meta-GGA SCAN level.

Cell lengths 3.4128, 3.4128, 8.8643 Å; angles 90.00, 90.00, 90.00 degrees
Fractional coordinates of all 4 atoms:
Pb 0.0000 0.0000 0.7124
Tl 0.5000 0.5000 0.0000
Zn 0.5000 0.5000 0.5000
Pb 0.0000 0.0000 0.2876

Summary:
ΔE_f in kJ/mol of atoms: 10.1
Symmetry: No. 123

***

No. 22
Below is a crystal of BaTaCd2 relaxed with PBEsol, with properties calculated at the meta-GGA SCAN level.

Cell lengths 3.1153, 4.1904, 7.7580 Å; angles 90.00, 90.00, 90.00 degrees
Fractional coordinates of all 4 atoms:
Ta 0.0000 0.0000 0.4310
Cd 0.5000 0.5000 0.2683
Ba 0.5000 0.5000 0.7451
Cd 0.0000 0.0000 0.0556

Summary:
ΔE_f in kJ/mol of atoms: 56.0
Relative energy among the computed polymorphs in meV per atom: 278
Symmetry: No. 25

***

No. 23
Below is a crystal of CaTaMo2 relaxed with PBEsol, with properties calculated at the meta-GGA SCAN level.

Cell lengths 2.9050, 4.4336, 6.2805 Å; angles 90.00, 98.31, 90.00 degrees
Fractional coordinates of all 4 atoms:
Mo 0.8052 0.0000 0.8210
Mo 0.1948 0.0000 0.1790
Ta 0.5000 0.5000 0.0000
Ca 0.0000 0.5000 0.5000

Summary:
ΔE_f in kJ/mol of atoms: 49.2
Relative energy among the computed polymorphs in meV per atom: 0
Symmetry: No. 10

***

No. 24
Below is a crystal of Cs3Cr2I9 relaxed with PBEsol, with properties calculated at the meta-GGA SCAN level.

Cell lengths 10.4248, 10.4248, 10.4248 Å; angles 81.67, 81.67, 81.67 degrees
Fractional coordinates of all 28 atoms:
I 0.5944 0.7500 0.9056
I 0.5697 0.2398 0.4066
Cr 0.8358 0.8358 0.8358
I 0.9056 0.5944 0.7500
I 0.4056 0.2500 0.0944
I 0.0697 0.9066 0.7398
I 0.2500 0.0944 0.4056
I 0.2398 0.4066 0.5697
Cs 0.2500 0.5888 0.9112
Cs 0.5888 0.9112 0.2500
I 0.0934 0.2602 0.9303
I 0.0944 0.4056 0.2500
I 0.5934 0.4303 0.7602
I 0.4303 0.7602 0.5934
Cr 0.1642 0.1642 0.1642
Cs 0.0888 0.7500 0.4112
Cs 0.4112 0.0888 0.7500
I 0.4066 0.5697 0.2398
I 0.2602 0.9303 0.0934
Cr 0.3358 0.3358 0.3358
I 0.7602 0.5934 0.4303
I 0.9303 0.0934 0.2602
I 0.7398 0.0697 0.9066
Cs 0.9112 0.2500 0.5888
I 0.7500 0.9056 0.5944
Cs 0.7500 0.4112 0.0888
Cr 0.6642 0.6642 0.6642
I 0.9066 0.7398 0.0697

Summary:
Uncorrected formation energy in eV/atom: -1.11
Relative energy among the computed polymorphs in meV per atom: 16
Symmetry: No. 167

***

No. 25
Below is a crystal of Sr4ReRh relaxed with PBEsol, with properties calculated at the meta-GGA SCAN level.

Cell lengths 6.1935, 6.1935, 6.1935 Å; angles 60.00, 60.00, 60.00 degrees
Fractional coordinates of all 6 atoms:
Sr 0.3749 0.3749 0.8753
Sr 0.8753 0.3749 0.3749
Re 0.7500 0.7500 0.7500
Sr 0.3749 0.3749 0.3749
Sr 0.3749 0.8753 0.3749
Rh 0.0000 0.0000 0.0000

Summary:
ΔE_f in kJ/mol of atoms: 156.3
Symmetry: No. 216

***

No. 26
Below is a crystal of YFeSe2 relaxed with PBEsol, with properties calculated at the meta-GGA SCAN level.

Cell lengths 4.7515, 4.7515, 4.7515 Å; angles 60.00, 60.00, 60.00 degrees
Fractional coordinates of all 4 atoms:
Fe 0.5000 0.5000 0.5000
Y 0.2500 0.2500 0.2500
Se 0.7500 0.7500 0.7500
Se 0.0000 0.0000 0.0000

Summary:
Uncorrected formation energy in eV/atom: -0.20
Symmetry: No. 216

***

No. 27
Below is a crystal of Cu3HgB relaxed with PBEsol, with properties calculated at the meta-GGA SCAN level.

Cell lengths 3.9829, 3.9829, 3.9829 Å; angles 90.00, 90.00, 90.00 degrees
Fractional coordinates of all 5 atoms:
B 0.0000 0.0000 0.0000
Cu 0.5000 0.0000 0.0000
Cu 0.0000 0.5000 0.0000
Cu 0.0000 0.0000 0.5000
Hg 0.5000 0.5000 0.5000

Summary:
ΔE_f in kJ/mol of atoms: 27.5
Symmetry: No. 221